Arrangement a

DFT (GGA+U) results for crystalline Cr3TcF at its relaxed geometry.

POSCAR file:
```
Cr3TcF
1.0
4.359 0.000 0.000
0.000 4.359 0.000
0.000 0.000 4.359
Cr Tc F
3 1 1
Direct
0.000 0.500 0.000
0.000 0.000 0.500
0.500 0.000 0.000
0.500 0.500 0.500
0.000 0.000 0.000
```

***

Arrangement b

DFT (GGA+U) results for crystalline Cr3TcF at its relaxed geometry.

POSCAR file:
```
Cr3TcF
1.0
4.867 0.000 0.000
0.000 4.867 0.000
0.000 0.000 4.867
Cr Tc F
3 1 1
Direct
0.000 0.500 0.000
0.000 0.000 0.500
0.500 0.000 0.000
0.000 0.000 0.000
0.500 0.500 0.500
```

***

Least stable of them? arrangement b.

***

Arrangement a

DFT (GGA+U) results for crystalline Cr3TeF at its relaxed geometry.

POSCAR file:
```
Cr3TeF
1.0
-2.200 2.617 3.166
-3.905 -2.445 -0.693
1.272 -2.981 3.348
Cr Te F
3 1 1
Direct
0.000 0.500 0.000
0.000 0.000 0.500
0.500 0.000 0.000
0.500 0.500 0.500
0.000 0.000 0.000
```

***

Arrangement b

DFT (GGA+U) results for crystalline Cr3TeF at its relaxed geometry.

POSCAR file:
```
Cr3TeF
1.0
-4.839 2.193 -0.823
-1.216 -0.736 5.185
2.002 4.853 1.158
Cr Te F
3 1 1
Direct
0.000 0.500 0.000
0.000 0.000 0.500
0.500 0.000 0.000
0.000 0.000 0.000
0.500 0.500 0.500
```

***

Least stable of them? arrangement b.

***

Arrangement a

DFT (GGA+U) results for crystalline Ti2CrF at its relaxed geometry.

POSCAR file:
```
Ti2CrF
1.0
-6.540 -0.346 -1.626
-0.420 -6.042 2.974
-4.142 -1.966 3.077
Cr F Ti
2 2 4
Direct
0.000 0.000 0.000
0.750 0.250 0.500
0.500 0.500 0.000
0.250 0.750 0.500
0.530 0.125 0.250
0.220 0.625 0.250
0.375 0.470 0.750
0.875 0.780 0.750
```

***

Arrangement b

DFT (GGA+U) results for crystalline Ti2CrF at its relaxed geometry.

POSCAR file:
```
Ti2CrF
1.0
0.000 3.191 3.191
3.191 0.000 3.191
3.191 3.191 0.000
Cr F Ti
1 1 2
Direct
0.500 0.500 0.500
0.000 0.000 0.000
0.250 0.250 0.250
0.750 0.750 0.750
```

***

Least stable of them? arrangement b.

***

Arrangement a

DFT (GGA+U) results for crystalline TiCr2F at its relaxed geometry.

POSCAR file:
```
TiCr2F
1.0
7.101 0.000 0.000
0.000 7.101 0.000
3.550 3.550 2.669
Cr F Ti
4 2 2
Direct
0.556 0.125 0.250
0.194 0.625 0.250
0.375 0.444 0.750
0.875 0.806 0.750
0.500 0.500 0.000
0.250 0.750 0.500
0.000 0.000 0.000
0.750 0.250 0.500
```

***

Arrangement b

DFT (GGA+U) results for crystalline TiCr2F at its relaxed geometry.

POSCAR file:
```
TiCr2F
1.0
0.000 3.273 3.273
3.273 0.000 3.273
3.273 3.273 0.000
Cr F Ti
2 1 1
Direct
0.250 0.250 0.250
0.750 0.750 0.750
0.000 0.000 0.000
0.500 0.500 0.500
```

***

Least stable of them? arrangement b.

***

Arrangement a

DFT (GGA+U) results for crystalline Ti3CrF at its relaxed geometry.

POSCAR file:
```
Ti3CrF
1.0
-0.599 1.290 -3.999
-4.170 -0.677 0.407
-0.515 3.987 1.363
Cr F Ti
1 1 3
Direct
0.500 0.500 0.500
0.000 0.000 0.000
0.000 0.500 0.000
0.000 0.000 0.500
0.500 0.000 0.000
```

***

Arrangement b

DFT (GGA+U) results for crystalline Ti3CrF at its relaxed geometry.

POSCAR file:
```
Ti3CrF
1.0
4.622 0.000 0.000
0.000 4.622 0.000
0.000 0.000 4.622
Cr F Ti
1 1 3
Direct
0.000 0.000 0.000
0.500 0.500 0.500
0.000 0.500 0.000
0.000 0.000 0.500
0.500 0.000 0.000
```

***

Least stable of them? arrangement b.

***

Arrangement a

DFT (GGA+U) results for crystalline TiCrF3 at its relaxed geometry.

POSCAR file:
```
TiCrF3
1.0
-3.632 0.704 -1.871
-1.556 -3.431 1.731
-1.254 2.218 3.270
Cr F Ti
1 3 1
Direct
0.500 0.500 0.500
0.000 0.500 0.000
0.000 0.000 0.500
0.500 0.000 0.000
0.000 0.000 0.000
```

***

Arrangement b

DFT (GGA+U) results for crystalline TiCrF3 at its relaxed geometry.

POSCAR file:
```
TiCrF3
1.0
-1.372 -3.892 -0.702
0.147 -0.793 4.107
-3.952 1.322 0.396
Cr F Ti
1 3 1
Direct
0.000 0.000 0.000
0.000 0.500 0.000
0.000 0.000 0.500
0.500 0.000 0.000
0.500 0.500 0.500
```

***

Least stable of them? arrangement b.

***

Arrangement a

DFT (GGA+U) results for crystalline Tl2Cr2F7 at its relaxed geometry.

POSCAR file:
```
Tl2Cr2F7
1.0
-1.439 0.225 6.205
-2.973 -4.290 -0.533
3.497 -3.795 0.949
Tl Cr F
2 2 7
Direct
0.000 0.241 0.759
0.000 0.759 0.241
0.500 0.262 0.262
0.500 0.738 0.738
0.694 0.000 0.500
0.306 0.500 0.000
0.306 0.000 0.500
0.694 0.500 0.000
0.500 0.000 0.000
0.300 0.500 0.500
0.700 0.500 0.500
```

***

Arrangement b

DFT (GGA+U) results for crystalline Tl2Cr2F7 at its relaxed geometry.

POSCAR file:
```
Tl2Cr2F7
1.0
-3.384 -1.927 -0.016
-1.201 2.150 -7.325
3.719 -6.563 1.679
Tl Cr F
2 2 7
Direct
0.500 0.738 0.262
0.500 0.262 0.738
0.005 0.262 0.262
0.995 0.738 0.738
0.005 0.433 0.145
0.995 0.855 0.567
0.995 0.567 0.855
0.005 0.145 0.433
0.495 0.698 0.698
0.000 0.000 0.000
0.505 0.302 0.302
```

***

Least stable of them? arrangement a.

***

Arrangement a

DFT (GGA+U) results for crystalline VCr2F2 at its relaxed geometry.

POSCAR file:
```
VCr2F2
1.0
4.855 0.000 0.000
0.000 4.855 0.000
2.428 2.428 4.123
Cr V F
2 1 2
Direct
0.750 0.250 0.500
0.250 0.750 0.500
0.000 0.000 0.000
0.252 0.252 0.497
0.748 0.748 0.503
```

***

Arrangement b

DFT (GGA+U) results for crystalline VCr2F2 at its relaxed geometry.

POSCAR file:
```
VCr2F2
1.0
-3.931 -4.271 -0.710
2.584 -1.544 -5.013
3.012 -3.194 2.536
Cr V F
4 2 4
Direct
0.310 0.810 0.500
0.810 0.690 0.500
0.690 0.190 0.500
0.190 0.310 0.500
0.000 0.000 0.000
0.500 0.500 0.000
0.301 0.801 0.000
0.801 0.699 0.000
0.699 0.199 0.000
0.199 0.301 0.000
```

***

Least stable of them? arrangement a.

***

Arrangement a

DFT (GGA+U) results for crystalline VCrF2 at its relaxed geometry.

POSCAR file:
```
VCrF2
1.0
1.956 0.000 6.478
-0.978 1.694 6.478
-0.978 -1.694 6.478
Cr V F
1 1 2
Direct
0.500 0.500 0.500
0.000 0.000 0.000
0.889 0.889 0.889
0.111 0.111 0.111
```

***

Arrangement b

DFT (GGA+U) results for crystalline VCrF2 at its relaxed geometry.

POSCAR file:
```
VCrF2
1.0
3.947 -0.797 1.072
0.982 -3.638 1.778
2.205 -2.828 -2.122
Cr V F
1 1 2
Direct
0.500 0.500 0.500
0.000 0.000 0.000
0.250 0.250 0.250
0.750 0.750 0.750
```

***

Least stable of them? arrangement b.

***

Arrangement a

DFT (GGA+U) results for crystalline VCr2F8 at its relaxed geometry.

POSCAR file:
```
VCr2F8
1.0
4.923 -0.207 -0.717
-0.748 5.345 0.398
-0.223 0.569 5.378
Cr F V
2 8 1
Direct
0.468 0.686 0.686
0.532 0.314 0.314
0.282 0.322 0.957
0.718 0.043 0.678
0.204 0.830 0.830
0.796 0.170 0.170
0.282 0.957 0.322
0.718 0.678 0.043
0.752 0.560 0.560
0.248 0.440 0.440
0.000 0.000 0.000
```

***

Arrangement b

DFT (GGA+U) results for crystalline VCr2F8 at its relaxed geometry.

POSCAR file:
```
VCr2F8
1.0
-0.241 3.056 -3.154
-5.139 -2.169 -1.320
-3.872 2.674 3.275
V Cr F
1 2 8
Direct
0.000 0.000 0.000
0.748 0.375 0.375
0.252 0.625 0.625
0.768 0.100 0.678
0.232 0.322 0.900
0.737 0.162 0.162
0.263 0.838 0.838
0.768 0.678 0.100
0.232 0.900 0.322
0.249 0.407 0.407
0.751 0.593 0.593
```

***

Least stable of them? arrangement a.

***

Arrangement a

DFT (GGA+U) results for crystalline V2CrF at its relaxed geometry.

POSCAR file:
```
V2CrF
1.0
0.000 3.247 3.247
3.247 0.000 3.247
3.247 3.247 0.000
Cr V F
1 2 1
Direct
0.500 0.500 0.500
0.250 0.250 0.250
0.750 0.750 0.750
0.000 0.000 0.000
```

***

Arrangement b

DFT (GGA+U) results for crystalline V2CrF at its relaxed geometry.

POSCAR file:
```
V2CrF
1.0
-2.551 -2.540 -5.752
4.455 -5.110 0.280
-1.221 -5.623 -0.978
Cr V F
2 4 2
Direct
0.000 0.000 0.000
0.750 0.250 0.500
0.538 0.125 0.250
0.212 0.625 0.250
0.375 0.462 0.750
0.875 0.788 0.750
0.500 0.500 0.000
0.250 0.750 0.500
```

***

Least stable of them? arrangement a.

***

Arrangement a

DFT (GGA+U) results for crystalline VCrF3 at its relaxed geometry.

POSCAR file:
```
VCrF3
1.0
-0.633 -0.366 -4.100
-0.938 -4.026 0.504
-4.008 1.000 0.529
Cr V F
1 1 3
Direct
0.000 0.000 0.000
0.500 0.500 0.500
0.000 0.500 0.000
0.000 0.000 0.500
0.500 0.000 0.000
```

***

Arrangement b

DFT (GGA+U) results for crystalline VCrF3 at its relaxed geometry.

POSCAR file:
```
VCrF3
1.0
4.157 0.000 0.000
0.000 4.157 0.000
0.000 0.000 4.157
Cr V F
1 1 3
Direct
0.500 0.500 0.500
0.000 0.000 0.000
0.000 0.500 0.000
0.000 0.000 0.500
0.500 0.000 0.000
```

***

Least stable of them? arrangement a.

***

Arrangement a

DFT (GGA+U) results for crystalline Cr3WF at its relaxed geometry.

POSCAR file:
```
Cr3WF
1.0
-4.977 -0.715 -0.984
-0.208 -3.582 3.657
-1.199 3.592 3.451
Cr W F
3 1 1
Direct
0.000 0.500 0.000
0.000 0.000 0.500
0.500 0.000 0.000
0.000 0.000 0.000
0.500 0.500 0.500
```

***

Arrangement b

DFT (GGA+U) results for crystalline Cr3WF at its relaxed geometry.

POSCAR file:
```
Cr3WF
1.0
-3.317 0.999 2.774
-0.095 -4.209 1.403
2.947 0.989 3.167
Cr W F
3 1 1
Direct
0.000 0.500 0.000
0.000 0.000 0.500
0.500 0.000 0.000
0.500 0.500 0.500
0.000 0.000 0.000
```

***

Least stable of them? arrangement a.